TlGeTeI | the Alexandria database | PBE | relaxed; crystal system = monoclinic; volume = 159 Å³/cell; M_tot = 0.0 μB per cell; E_form (uncorrected) = -0.23 eV per atom
1.0
-4.201 -1.067 -0.407
-2.174 -1.629 3.406
-4.643 8.040 3.672
Ge Tl I Te
1 1 1 1
direct
0.568 0.830 0.987
0.714 0.977 0.546
0.453 0.717 0.328
0.949 0.212 0.842